No. 1
Entry from Alexandria via LeMat-Bulk: a geometry-optimized KRb2Au2I6 structure (PBE).

Calculated values
- Formation energy from raw total energies: -75 kJ per mole of atoms
- Spin magnetization: 0.0 μB per cell
- SG: No. 12

Lattice parameters (Å, degrees): 7.8426 8.6132 9.9032 113.97 90.00 117.08
Closest atoms and distances in Å follow each position.
Fractional coordinates of all 11 atoms:
K (0.5000, 0.0000, 0.5000)  6 I 3.50-3.58
Rb (0.7153, 0.4306, 0.2137)  7 I 3.76-4.20
Rb (0.2847, 0.5694, 0.7863)  7 I 3.76-4.20
Au (0.9525, 0.9050, 0.7545)  3 I 2.65-2.71
Au (0.0475, 0.0950, 0.2455)  3 I 2.65-2.71
I (0.7586, 0.5172, 0.6194)  1 Au 2.65
I (0.1804, 0.8362, 0.1652)  1 Au 2.71
I (0.3442, 0.1638, 0.8348)  1 Au 2.71
I (0.8196, 0.1638, 0.8348)  1 Au 2.71
I (0.6558, 0.8362, 0.1652)  1 Au 2.71
I (0.2414, 0.4828, 0.3806)  1 Au 2.65

=====

No. 2
Entry from Alexandria via LeMat-Bulk: a geometry-optimized K2RbAuI structure (PBE).

Calculated values
- Formation energy from raw total energies: -52 kJ per mole of atoms
- Spin magnetization: 0.0 μB per cell
- SG: No. 123

Lattice parameters (Å, degrees): 6.3459 6.3459 6.6530 90.00 90.00 90.00
Closest atoms and distances in Å follow each position.
Fractional coordinates of all 5 atoms:
I (0.5000, 0.5000, 0.5000)  4 Rb 4.49, 8 K 4.60
K (0.0000, 0.5000, 0.0000)  2 Au 3.17
K (0.5000, 0.0000, 0.0000)  2 Au 3.17
Au (0.0000, 0.0000, 0.0000)  4 K 3.17, 2 Rb 3.33
Rb (0.0000, 0.0000, 0.5000)  2 Au 3.33

=====

No. 3
Entry from Alexandria via LeMat-Bulk: a geometry-optimized KRb2AuI structure (PBE).

Calculated values
- Formation energy from raw total energies: -52 kJ per mole of atoms
- Spin magnetization: 0.0 μB per cell
- SG: No. 123

Lattice parameters (Å, degrees): 6.6401 6.3511 6.6401 90.00 90.00 90.00
Closest atoms and distances in Å follow each position.
Fractional coordinates of all 5 atoms:
I (0.5000, 0.5000, 0.5000)  8 Rb 4.59, 4 K 4.70
K (0.0000, 0.5000, 0.0000)  2 Au 3.18
Au (0.0000, 0.0000, 0.0000)  2 K 3.18, 4 Rb 3.32
Rb (0.0000, 0.0000, 0.5000)  2 Au 3.32
Rb (0.5000, 0.0000, 0.0000)  2 Au 3.32

=====

No. 4
Entry from Alexandria via LeMat-Bulk: a geometry-optimized K2RbAu2I6 structure (PBE).

Calculated values
- Formation energy from raw total energies: -74 kJ per mole of atoms
- Spin magnetization: 0.0 μB per cell
- SG: No. 12

Lattice parameters (Å, degrees): 8.0949 7.3322 11.1030 105.67 90.00 123.51
Closest atoms and distances in Å follow each position.
Fractional coordinates of all 11 atoms:
K (0.6860, 0.3719, 0.1408)  7 I 3.58-3.78
K (0.3140, 0.6281, 0.8592)  7 I 3.58-3.78
Rb (0.5000, 0.0000, 0.5000)  6 I 3.64-3.93
Au (0.9652, 0.9304, 0.6980)  3 I 2.64-2.72
Au (0.0348, 0.0696, 0.3020)  3 I 2.64-2.72
I (0.7917, 0.5834, 0.4812)  1 Au 2.64
I (0.2009, 0.8584, 0.1716)  1 Au 2.72
I (0.3425, 0.1416, 0.8284)  1 Au 2.72
I (0.7991, 0.1416, 0.8284)  1 Au 2.72
I (0.6575, 0.8584, 0.1716)  1 Au 2.72
I (0.2083, 0.4166, 0.5188)  1 Au 2.64

=====

Which DOS at the Fermi energy belongs to each record? In order, 0.45; 0.93; 1.46; 0.38 states/eV per atom.